Record 1
# ZnCoIr2 | Alexandria | PBE-GGA | relaxed
# - energy of formation (meV/atom) = -61
# - D(E_F) (states/eV per cell) = 11.72
# - raw total energy (Ha/atom) = -0.2421
data_ZnCoIr2
_space_group_name_H-M_alt 'R 3 m'
_space_group_IT_number 160
_space_group_name_Hall 'R 3 -2"'
_cell_length_a 2.7297
_cell_length_b 2.7297
_cell_length_c 25.4012
_cell_angle_alpha 90.00
_cell_angle_beta 90.00
_cell_angle_gamma 120.00
loop_
_atom_site_label
_atom_site_type_symbol
_atom_site_fract_x
_atom_site_fract_y
_atom_site_fract_z
Zn1 Zn 0.0000 0.0000 0.0000
Co1 Co 0.0000 0.0000 0.8333
Ir1 Ir 0.0000 0.0000 0.2474
Ir2 Ir 0.0000 0.0000 0.4192

Record 2
# SmGdBiI | Alexandria | PBE-GGA | relaxed
# - D(E_F) (states/eV per cell) = 21.09
# - raw total energy (Ha/atom) = -0.2522
# - uncorrected formation energy (kJ/mol of formula units) = -310.4
data_SmGdBiI
_space_group_name_H-M_alt 'F -4 3 m'
_space_group_IT_number 216
_space_group_name_Hall 'F -4 2 3'
_cell_length_a 7.8177
_cell_length_b 7.8177
_cell_length_c 7.8177
_cell_angle_alpha 90.00
_cell_angle_beta 90.00
_cell_angle_gamma 90.00
loop_
_atom_site_label
_atom_site_type_symbol
_atom_site_fract_x
_atom_site_fract_y
_atom_site_fract_z
Sm1 Sm 0.0000 0.0000 0.0000
Gd1 Gd 0.0000 0.0000 0.5000
Bi1 Bi 0.2500 0.2500 0.2500
I1 I 0.2500 0.2500 0.7500

Which value of raw total energy does entry 2 give?
-0.2522 Ha/atom

What is the D(E_F) in the second record?
21.09 states/eV per cell